NiPAuCl2: optimized geometry, PBE.

abc: 4.549 4.549 4.638
angles: 90.00 90.00 90.00
Positions (direct):
Ni1 0.000 0.000 0.000
P1 0.000 0.000 0.500
Au1 0.500 0.500 0.500
Cl1 0.000 0.500 0.000
Cl2 0.500 0.000 0.000

Calculated values
M_tot: 0.00 μB/cell
ΔE_f (raw): 0.38 eV/atom
Energy relative to the lowest polymorph listed for this composition: 0.00 eV/f.u.
Symmetry: P4/mmm (123)